No. 1
An optimized crystal structure of YMoRhPb2. Source: the Alexandria database, functional PBE-GGA.

```
data_YMoRhPb2
_chemical_formula_sum 'Y1 Mo1 Rh1 Pb2'
_space_group_name_H-M_alt 'P 1'
_space_group_IT_number 1
_cell_length_a 5.7151
_cell_length_b 5.7151
_cell_length_c 4.7718
_cell_angle_alpha 90.00
_cell_angle_beta 90.00
_cell_angle_gamma 90.00
loop_
_space_group_symop_operation_xyz
'x,y,z'
loop_
_atom_site_label
_atom_site_type_symbol
_atom_site_fract_x
_atom_site_fract_y
_atom_site_fract_z
_atom_site_occupancy
Y1 Y 0.0000 0.0000 0.0000 1
Mo1 Mo 0.5000 0.5000 0.5000 1
Rh1 Rh 0.0000 0.0000 0.5000 1
Pb1 Pb 0.0000 0.5000 0.0000 1
Pb2 Pb 0.5000 0.0000 0.0000 1
```

Summary:
Its space-group type is P4/mmm. For the total energy, the calculation gives -23.85 eV per cell. The value obtained for the formation energy is 1642 meV/atom.



No. 2
An optimized crystal structure of CeAl2H8. Source: the Alexandria database, functional PBE-GGA.

```
data_CeAl2H8
_chemical_formula_sum 'Ce2 Al4 H16'
_space_group_name_H-M_alt 'P 1'
_space_group_IT_number 1
_cell_length_a 6.0631
_cell_length_b 6.0631
_cell_length_c 7.2321
_cell_angle_alpha 113.60
_cell_angle_beta 113.60
_cell_angle_gamma 79.52
loop_
_space_group_symop_operation_xyz
'x,y,z'
loop_
_atom_site_label
_atom_site_type_symbol
_atom_site_fract_x
_atom_site_fract_y
_atom_site_fract_z
_atom_site_occupancy
Ce1 Ce 0.2353 0.7647 0.7500 1
Ce2 Ce 0.7647 0.2353 0.2500 1
Al1 Al 0.2958 0.3419 0.9028 1
Al2 Al 0.3419 0.2958 0.4028 1
Al3 Al 0.6581 0.7042 0.5972 1
Al4 Al 0.7042 0.6581 0.0972 1
H1 H 0.0821 0.1408 0.7519 1
H2 H 0.0891 0.5004 0.3980 1
H3 H 0.1351 0.6033 0.9438 1
H4 H 0.1408 0.0821 0.2519 1
H5 H 0.3401 0.3671 0.6767 1
H6 H 0.3671 0.3401 0.1767 1
H7 H 0.3967 0.8649 0.5562 1
H8 H 0.5004 0.0891 0.8980 1
H9 H 0.4996 0.9109 0.1020 1
H10 H 0.6033 0.1351 0.4438 1
H11 H 0.6329 0.6599 0.8233 1
H12 H 0.6599 0.6329 0.3233 1
H13 H 0.8592 0.9179 0.7481 1
H14 H 0.8649 0.3967 0.0562 1
H15 H 0.9109 0.4996 0.6020 1
H16 H 0.9179 0.8592 0.2481 1
```

Summary:
Its space-group type is C2/c. For the total energy, the calculation gives -83.59 eV per cell.



No. 3
An optimized crystal structure of ZnW2Cl. Source: the Alexandria database, functional PBE-GGA.

```
data_ZnW2Cl
_chemical_formula_sum 'Zn1 W2 Cl1'
_space_group_name_H-M_alt 'P 1'
_space_group_IT_number 1
_cell_length_a 4.6105
_cell_length_b 4.6105
_cell_length_c 2.8403
_cell_angle_alpha 90.00
_cell_angle_beta 90.00
_cell_angle_gamma 90.00
loop_
_space_group_symop_operation_xyz
'x,y,z'
loop_
_atom_site_label
_atom_site_type_symbol
_atom_site_fract_x
_atom_site_fract_y
_atom_site_fract_z
_atom_site_occupancy
Zn1 Zn 0.0000 0.0000 0.0000 1
W1 W 0.0000 0.5000 0.5000 1
W2 W 0.5000 0.0000 0.5000 1
Cl1 Cl 0.5000 0.5000 0.0000 1
```

Summary:
Its space-group type is P4/mmm. The calculation puts the uncorrected formation energy at 4.42 eV/f.u. For the total energy, the calculation gives -24.61 eV per cell. The value obtained for the energy above the most stable polymorph in this dataset is 798 meV per atom.



No. 4
An optimized crystal structure of RbNaTlIn. Source: the Alexandria database, functional PBE-GGA.

```
data_RbNaTlIn
_chemical_formula_sum 'Rb1 Na1 Tl1 In1'
_space_group_name_H-M_alt 'P 1'
_space_group_IT_number 1
_cell_length_a 5.7088
_cell_length_b 5.7088
_cell_length_c 5.7088
_cell_angle_alpha 60.00
_cell_angle_beta 60.00
_cell_angle_gamma 60.00
loop_
_space_group_symop_operation_xyz
'x,y,z'
loop_
_atom_site_label
_atom_site_type_symbol
_atom_site_fract_x
_atom_site_fract_y
_atom_site_fract_z
_atom_site_occupancy
Rb1 Rb 0.0000 0.0000 0.0000 1
Na1 Na 0.2500 0.2500 0.2500 1
Tl1 Tl 0.7500 0.7500 0.7500 1
In1 In 0.5000 0.5000 0.5000 1
```

Summary:
Its space-group type is F-43m. For the total energy, the calculation gives -7.52 eV per cell. The value obtained for the formation energy is -32 meV/atom. The value obtained for the energy above the most stable polymorph in this dataset is 50 meV per atom.



No. 5
An optimized crystal structure of BaTl2NiSn. Source: the Alexandria database, functional PBE-GGA.

```
data_BaTl2NiSn
_chemical_formula_sum 'Ba1 Tl2 Ni1 Sn1'
_space_group_name_H-M_alt 'P 1'
_space_group_IT_number 1
_cell_length_a 5.2261
_cell_length_b 5.2261
_cell_length_c 5.2262
_cell_angle_alpha 90.00
_cell_angle_beta 90.00
_cell_angle_gamma 90.00
loop_
_space_group_symop_operation_xyz
'x,y,z'
loop_
_atom_site_label
_atom_site_type_symbol
_atom_site_fract_x
_atom_site_fract_y
_atom_site_fract_z
_atom_site_occupancy
Ba1 Ba 0.0000 0.0000 0.0000 1
Tl1 Tl 0.0000 0.5000 0.5000 1
Tl2 Tl 0.5000 0.0000 0.5000 1
Ni1 Ni 0.5000 0.5000 0.5000 1
Sn1 Sn 0.5000 0.5000 0.0000 1
```

Summary:
Its space-group type is P4/mmm. For the total energy, the calculation gives -17.31 eV per cell. The value obtained for the formation energy is -174 meV/atom.



No. 6
An optimized crystal structure of AcGa2SnPd. Source: the Alexandria database, functional PBE-GGA.

```
data_AcGa2SnPd
_chemical_formula_sum 'Ac1 Ga2 Sn1 Pd1'
_space_group_name_H-M_alt 'P 1'
_space_group_IT_number 1
_cell_length_a 6.3666
_cell_length_b 6.3666
_cell_length_c 6.3666
_cell_angle_alpha 138.46
_cell_angle_beta 136.85
_cell_angle_gamma 61.44
loop_
_space_group_symop_operation_xyz
'x,y,z'
loop_
_atom_site_label
_atom_site_type_symbol
_atom_site_fract_x
_atom_site_fract_y
_atom_site_fract_z
_atom_site_occupancy
Ac1 Ac 0.0000 0.0000 0.0000 1
Ga1 Ga 0.4124 0.4124 0.0000 1
Ga2 Ga 0.7568 0.2568 0.5000 1
Sn1 Sn 0.2555 0.7555 0.5000 1
Pd1 Pd 0.6401 0.6401 0.0000 1
```

Summary:
Its space-group type is Imm2. For the total energy, the calculation gives -22.88 eV per cell. The value obtained for the formation energy is -705 meV/atom.



No. 7
An optimized crystal structure of NpNbGa2. Source: the Alexandria database, functional PBE-GGA.

```
data_NpNbGa2
_chemical_formula_sum 'Np1 Nb1 Ga2'
_space_group_name_H-M_alt 'P 1'
_space_group_IT_number 1
_cell_length_a 10.9916
_cell_length_b 10.9916
_cell_length_c 10.9916
_cell_angle_alpha 14.94
_cell_angle_beta 14.94
_cell_angle_gamma 14.94
loop_
_space_group_symop_operation_xyz
'x,y,z'
loop_
_atom_site_label
_atom_site_type_symbol
_atom_site_fract_x
_atom_site_fract_y
_atom_site_fract_z
_atom_site_occupancy
Np1 Np 0.0000 0.0000 0.0000 1
Nb1 Nb 0.5000 0.5000 0.5000 1
Ga1 Ga 0.4160 0.4160 0.4160 1
Ga2 Ga 0.5840 0.5840 0.5840 1
```

Summary:
Its space-group type is R-3m. For the total energy, the calculation gives -28.27 eV per cell. The value obtained for the formation energy is 199 meV/atom.



No. 8
An optimized crystal structure of Cd2FeTc. Source: the Alexandria database, functional PBE-GGA.

```
data_Cd2FeTc
_chemical_formula_sum 'Cd2 Fe1 Tc1'
_space_group_name_H-M_alt 'P 1'
_space_group_IT_number 1
_cell_length_a 4.5621
_cell_length_b 4.5621
_cell_length_c 4.5621
_cell_angle_alpha 60.00
_cell_angle_beta 60.00
_cell_angle_gamma 60.00
loop_
_space_group_symop_operation_xyz
'x,y,z'
loop_
_atom_site_label
_atom_site_type_symbol
_atom_site_fract_x
_atom_site_fract_y
_atom_site_fract_z
_atom_site_occupancy
Cd1 Cd 0.0000 0.0000 0.0000 1
Cd2 Cd 0.2500 0.2500 0.2500 1
Fe1 Fe 0.5000 0.5000 0.5000 1
Tc1 Tc 0.7500 0.7500 0.7500 1
```

Summary:
Its space-group type is F-43m. For the total energy, the calculation gives -18.59 eV per cell. The value obtained for the formation energy is 518 meV/atom. The value obtained for the energy above the most stable polymorph in this dataset is 325 meV per atom.



No. 9
An optimized crystal structure of ZrSn2Br. Source: the Alexandria database, functional PBE-GGA.

```
data_ZrSn2Br
_chemical_formula_sum 'Zr1 Sn2 Br1'
_space_group_name_H-M_alt 'P 1'
_space_group_IT_number 1
_cell_length_a 5.2624
_cell_length_b 5.2624
_cell_length_c 5.2624
_cell_angle_alpha 60.00
_cell_angle_beta 60.00
_cell_angle_gamma 60.00
loop_
_space_group_symop_operation_xyz
'x,y,z'
loop_
_atom_site_label
_atom_site_type_symbol
_atom_site_fract_x
_atom_site_fract_y
_atom_site_fract_z
_atom_site_occupancy
Zr1 Zr 0.0000 0.0000 0.0000 1
Sn1 Sn 0.2500 0.2500 0.2500 1
Sn2 Sn 0.7500 0.7500 0.7500 1
Br1 Br 0.5000 0.5000 0.5000 1
```

Summary:
Its space-group type is Fm-3m. The calculation puts the uncorrected formation energy at 0.98 eV/f.u. For the total energy, the calculation gives -17.25 eV per cell. The value obtained for the energy above the most stable polymorph in this dataset is 175 meV per atom.



No. 10
An optimized crystal structure of Pr7NdSm2. Source: the Alexandria database, functional PBE-GGA.

```
data_Pr7NdSm2
_chemical_formula_sum 'Pr7 Nd1 Sm2'
_space_group_name_H-M_alt 'P 1'
_space_group_IT_number 1
_cell_length_a 9.4032
_cell_length_b 9.4032
_cell_length_c 5.6903
_cell_angle_alpha 90.00
_cell_angle_beta 90.00
_cell_angle_gamma 122.54
loop_
_space_group_symop_operation_xyz
'x,y,z'
loop_
_atom_site_label
_atom_site_type_symbol
_atom_site_fract_x
_atom_site_fract_y
_atom_site_fract_z
_atom_site_occupancy
Pr1 Pr 0.0000 0.0000 0.0000 1
Pr2 Pr 0.1082 0.8918 0.5000 1
Pr3 Pr 0.2058 0.4173 0.0000 1
Pr4 Pr 0.4173 0.2058 0.0000 1
Pr5 Pr 0.5827 0.7942 0.0000 1
Pr6 Pr 0.7942 0.5827 0.0000 1
Pr7 Pr 0.8918 0.1082 0.5000 1
Nd1 Nd 0.5000 0.5000 0.5000 1
Sm1 Sm 0.2234 0.7766 0.0000 1
Sm2 Sm 0.7766 0.2234 0.0000 1
```

Summary:
Its space-group type is Cmmm. For the total energy, the calculation gives -41.52 eV per cell. The value obtained for the formation energy is 614 meV/atom. The value obtained for the energy above the most stable polymorph in this dataset is 4 meV per atom.



No. 11
An optimized crystal structure of NdIBrF. Source: the Alexandria database, functional PBE-GGA.

```
data_NdIBrF
_chemical_formula_sum 'Nd1 I1 Br1 F1'
_space_group_name_H-M_alt 'P 1'
_space_group_IT_number 1
_cell_length_a 8.4603
_cell_length_b 8.4603
_cell_length_c 8.4603
_cell_angle_alpha 28.76
_cell_angle_beta 28.76
_cell_angle_gamma 28.76
loop_
_space_group_symop_operation_xyz
'x,y,z'
loop_
_atom_site_label
_atom_site_type_symbol
_atom_site_fract_x
_atom_site_fract_y
_atom_site_fract_z
_atom_site_occupancy
Nd1 Nd 0.0000 0.0000 0.0000 1
I1 I 0.4251 0.4251 0.4251 1
Br1 Br 0.2540 0.2540 0.2540 1
F1 F 0.6665 0.6665 0.6665 1
```

Summary:
Its space-group type is R3m. The calculation puts the uncorrected formation energy at -9.94 eV/f.u. For the total energy, the calculation gives -19.81 eV per cell.



No. 12
An optimized crystal structure of La6PmNd3. Source: the Alexandria database, functional PBE-GGA.

```
data_La6PmNd3
_chemical_formula_sum 'La12 Pm2 Nd6'
_space_group_name_H-M_alt 'P 1'
_space_group_IT_number 1
_cell_length_a 11.3070
_cell_length_b 11.3070
_cell_length_c 6.6159
_cell_angle_alpha 90.00
_cell_angle_beta 90.00
_cell_angle_gamma 121.51
loop_
_space_group_symop_operation_xyz
'x,y,z'
loop_
_atom_site_label
_atom_site_type_symbol
_atom_site_fract_x
_atom_site_fract_y
_atom_site_fract_z
_atom_site_occupancy
La1 La 0.0312 0.9688 0.5000 1
La2 La 0.0672 0.4813 0.9775 1
La3 La 0.2826 0.7174 0.6947 1
La4 La 0.2885 0.3668 0.7959 1
La5 La 0.3668 0.2885 0.2959 1
La6 La 0.4813 0.0672 0.4775 1
La7 La 0.5187 0.9328 0.9775 1
La8 La 0.6332 0.7115 0.7959 1
La9 La 0.7115 0.6332 0.2959 1
La10 La 0.7174 0.2826 0.1947 1
La11 La 0.9328 0.5187 0.4775 1
La12 La 0.9688 0.0312 0.0000 1
Pm1 Pm 0.1854 0.8146 0.2523 1
Pm2 Pm 0.8146 0.1854 0.7523 1
Nd1 Nd 0.0576 0.2960 0.3898 1
Nd2 Nd 0.2960 0.0576 0.8898 1
Nd3 Nd 0.3833 0.6167 0.2656 1
Nd4 Nd 0.6167 0.3833 0.7656 1
Nd5 Nd 0.7040 0.9424 0.3898 1
Nd6 Nd 0.9424 0.7040 0.8898 1
```

Summary:
Its space-group type is Cmc2_1. For the total energy, the calculation gives -95.09 eV per cell. The value obtained for the formation energy is 107 meV/atom. The value obtained for the energy above the most stable polymorph in this dataset is 0 meV per atom.